No. 1
A crystal of GaRuI2O relaxed with PBEsol, computed with meta-GGA SCAN.

```
5
Lattice="5.5687 0.0000 0.0000 0.0000 5.5687 0.0000 0.0000 0.0000 3.6960" Properties=species:S:1:pos:R:3 pbc="T T T"
Ga 0.0000 0.0000 0.0000
Ru 2.7843 2.7843 1.8480
I 0.0000 2.7843 1.8480
I 2.7843 0.0000 1.8480
O 2.7843 2.7843 0.0000
```

The crystal system is tetragonal.

---

No. 2
A crystal of GaRuIO2 relaxed with PBEsol, computed with meta-GGA SCAN.

```
5
Lattice="3.7391 0.0000 0.0000 0.0000 3.7391 0.0000 0.0000 0.0000 6.1369" Properties=species:S:1:pos:R:3 pbc="T T T"
Ga 0.0000 0.0000 0.0000
Ru 1.8695 1.8695 3.0685
I 0.0000 0.0000 3.0685
O 0.0000 1.8695 0.0000
O 1.8695 0.0000 0.0000
```

The crystal system is tetragonal.

---

No. 3
A crystal of SrGaI2O relaxed with PBEsol, computed with meta-GGA SCAN.

```
5
Lattice="6.3363 0.0000 0.0000 0.0000 6.3363 0.0000 0.0000 0.0000 4.5018" Properties=species:S:1:pos:R:3 pbc="T T T"
Sr 0.0000 0.0000 0.0000
Ga 3.1681 3.1681 2.2509
I 0.0000 3.1681 0.0000
I 3.1681 0.0000 0.0000
O 0.0000 0.0000 2.2509
```

The crystal system is tetragonal.

---

No. 4
A crystal of GaTeIO2 relaxed with PBEsol, computed with meta-GGA SCAN.

```
5
Lattice="3.9805 0.0000 0.0000 0.0000 3.9805 0.0000 0.0000 0.0000 6.3353" Properties=species:S:1:pos:R:3 pbc="T T T"
Ga 0.0000 0.0000 0.0000
Te 1.9903 1.9903 3.1677
I 0.0000 0.0000 3.1677
O 0.0000 1.9903 0.0000
O 1.9903 0.0000 0.0000
```

The crystal system is tetragonal.

---

Record-wise E_tot values, in eV per cell: -132.00; -100.25; -122.40; -103.16